First-principles (PBE) data for crystalline BaTaPCl2 at its relaxed geometry, as listed in Alexandria.

a b c (Å): 5.6768 5.6768 6.4748
angles (deg): 90.00 90.00 90.00
Fractional positions:
Ba (0.0000, 0.0000, 0.0000)
Cl (0.0000, 0.5000, 0.0000)
Cl (0.5000, 0.0000, 0.0000)
Ta (0.5000, 0.5000, 0.5000)
P (0.0000, 0.0000, 0.5000)

Energy relative to the lowest polymorph listed for this composition: 1.6227 eV/atom
Magnetization: 2.00 μB per formula unit
Formation energy (no corrections): 671 meV/atom